1.
This record from Alexandria via LeMat-Bulk describes a relaxed SmYZnGe crystal. The functional is PBE.

abc: 4.1333 4.2393 11.0804
angles: 90.00 90.00 90.00
With the nearest neighbours (Å) after each atom.
Space group Amm2 (No. 38)
Symmetry-distinct sites (fractional):
Sm: 0.0000 0.0000 0.0000 [2 per cell]  4 Zn 3.06, 3 Ge 3.11-3.23
Y: 0.5000 0.0000 0.2824 [2 per cell]  4 Ge 3.04, 3 Zn 3.16-3.20
Zn: 0.5000 0.0000 0.5713 [2 per cell]  2 Ge 2.64
Ge: 0.0000 0.0000 0.7197 [2 per cell]  2 Zn 2.64

Computed properties:
magnetic moment	0.40	μB/f.u.
formation enthalpy at 0 K	-0.62	eV per atom
distance to the lowest polymorph of the same formula	0	meV/atom

---

2.
This record from Alexandria via LeMat-Bulk describes a relaxed Dy5ThS6 crystal. The functional is PBE.

abc: 6.7925 11.8001 6.8190
angles: 90.00 109.63 90.00
With the nearest neighbours (Å) after each atom.
Space group C2/m (No. 12)
Symmetry-distinct sites (fractional):
Dy: 0.0000 0.0000 0.0000 [2 per cell]  6 S 2.73-2.78
Dy: 0.0000 0.1666 0.5000 [4 per cell]  6 S 2.77-2.78
Dy: 0.0000 0.3345 0.0000 [4 per cell]  6 S 2.73-2.78
Th: 0.0000 0.5000 0.5000 [2 per cell]  6 S 2.83
S: 0.2444 0.0000 0.7540 [4 per cell]  5 Dy 2.73-2.77, 1 Th 2.83
S: 0.2450 0.1702 0.2452 [8 per cell]  5 Dy 2.73-2.78, 1 Th 2.83

Computed properties:
E_form (uncorrected)	-1956	meV per atom
magnetic moment	0.00	μB/f.u.

---

3.
This record from Alexandria via LeMat-Bulk describes a relaxed CsHf2ReTe crystal. The functional is PBE.

abc: 5.1189 5.1189 5.9091
angles: 90.00 90.00 90.00
With the nearest neighbours (Å) after each atom.
Space group P4/mmm (No. 123)
Symmetry-distinct sites (fractional):
Cs: 0.0000 0.0000 0.0000 [1 per cell]  4 Te 3.62, 8 Hf 3.91
Hf: 0.0000 0.5000 0.5000 [2 per cell]  2 Re 2.56
Re: 0.5000 0.5000 0.5000 [1 per cell]  4 Hf 2.56
Te: 0.5000 0.5000 0.0000 [1 per cell]  2 Re 2.95

Computed properties:
E_form (uncorrected)	702	meV per atom
magnetic moment	0.00	μB/f.u.

---

4.
This record from Alexandria via LeMat-Bulk describes a relaxed TbReP crystal. The functional is PBE.

abc: 4.0373 4.0373 4.2091
angles: 90.00 90.00 120.00
With the nearest neighbours (Å) after each atom.
Space group P-6m2 (No. 187)
Symmetry-distinct sites (fractional):
Tb: 0.0000 0.0000 0.0000 [1 per cell]  6 Re 3.14, 6 P 3.14
Re: 0.3333 0.6667 0.5000 [1 per cell]  3 P 2.33
P: 0.6667 0.3333 0.5000 [1 per cell]  3 Re 2.33

Computed properties:
magnetic moment	0.00	μB/f.u.
formation enthalpy at 0 K	-0.47	eV per atom
distance to the lowest polymorph of the same formula	0	meV/atom

---

Q: The highest magnetic moment belongs to which entry?
A: SmYZnGe